# 1
The following is a GGA-PBE calculation of crystalline TaInPb at its relaxed geometry, from Alexandria via LeMat-Bulk.

Unit cell a=5.6831 b=5.6831 c=5.6831 alpha=146.34 beta=138.16 gamma=54.73
Last column: nearest neighbours and their distance in Å.
Atoms (fractional coordinates):
Ta1 0.0000 0.0000 0.0000  4 In 3.00, 5 Pb 3.11-3.35, 2 Ta 3.29
In1 0.3536 0.3536 0.0000  4 Ta 3.00, 5 Pb 3.17-3.22, 2 In 3.29
Pb1 0.6679 0.6679 0.0000  5 Ta 3.11-3.35, 5 In 3.17-3.22, 2 Pb 3.29

Results
D(E_F) = 2.111 states/eV/cell
electronic total energy = -16.8 eV per formula unit
E_form = 145 kJ/mol of formula units
relative energy among the computed polymorphs = 30.0 kJ/mol of formula units
total magnetic moment = 0.000 μB per cell

# 2
The following is a GGA-PBE calculation of crystalline Ta2InPb at its relaxed geometry, from Alexandria via LeMat-Bulk.

Unit cell a=10.0148 b=10.0148 c=10.0148 alpha=17.95 beta=17.95 gamma=17.95
Last column: nearest neighbours and their distance in Å.
Atoms (fractional coordinates):
Ta1 0.2492 0.2492 0.2492  3 In 3.04, 3 Pb 3.07, 6 Ta 3.13
Ta2 0.7508 0.7508 0.7508  3 In 3.04, 3 Pb 3.07, 6 Ta 3.13
In1 0.5000 0.5000 0.5000  6 Ta 3.04, 6 In 3.13
Pb1 0.0000 0.0000 0.0000  6 Ta 3.07, 6 Pb 3.13

Results
D(E_F) = 3.636 states/eV/cell
electronic total energy = -28.1 eV per formula unit
E_form = 193 kJ/mol of formula units
total magnetic moment = 0.000 μB per cell

# 3
The following is a GGA-PBE calculation of crystalline Ta2InPb at its relaxed geometry, from Alexandria via LeMat-Bulk.

Unit cell a=4.2854 b=4.2854 c=4.5240 alpha=90.00 beta=90.00 gamma=90.00
Last column: nearest neighbours and their distance in Å.
Atoms (fractional coordinates):
Ta1 0.0000 0.5000 0.0000  4 Ta 3.03, 4 Pb 3.12, 4 In 3.12
Ta2 0.5000 0.0000 0.0000  4 Ta 3.03, 4 Pb 3.12, 4 In 3.12
In1 0.0000 0.0000 0.5000  4 Pb 3.03, 8 Ta 3.12
Pb1 0.5000 0.5000 0.5000  4 In 3.03, 8 Ta 3.12

Results
D(E_F) = 3.274 states/eV/cell
electronic total energy = -27.9 eV per formula unit
E_form = 220 kJ/mol of formula units
total magnetic moment = 0.000 μB per cell

# 4
The following is a GGA-PBE calculation of crystalline Ta2InPb at its relaxed geometry, from Alexandria via LeMat-Bulk.

Unit cell a=3.6770 b=3.6770 c=6.1520 alpha=90.00 beta=90.00 gamma=90.00
Last column: nearest neighbours and their distance in Å.
Atoms (fractional coordinates):
Ta1 0.0000 0.0000 0.2317  1 Ta 2.85, 4 In 2.97, 4 Pb 3.08
Ta2 0.0000 0.0000 0.7683  1 Ta 2.85, 4 In 2.97, 4 Pb 3.08
In1 0.5000 0.5000 0.0000  8 Ta 2.97, 2 Pb 3.08
Pb1 0.5000 0.5000 0.5000  2 In 3.08, 8 Ta 3.08

Results
D(E_F) = 2.419 states/eV/cell
electronic total energy = -27.7 eV per formula unit
E_form = 234 kJ/mol of formula units
total magnetic moment = 0.000 μB per cell